First-principles (GGA-PBE) data for a geometry-optimized PuSb structure, as listed in OQMD.

Uncorrected energy ... -9.813 eV/atom
Density ... 10.0 g/cm3
Space group ... No. 225

abc: 4.419 4.419 4.419
angles: 60.00 60.00 60.00
Sites, in units of the cell vectors:
1 Pu 0.000 0.000 0.000
2 Sb 0.500 0.500 0.500